# 1
Density functional theory data (PBE) for ZnRuPt2 after structural relaxation.

Symmetry: No. 123
E (eV/atom): -5.859
Formation enthalpy at 0 K (eV/atom): -0.20

a = 2.7670 Å, b = 2.7670 Å, c = 7.7155 Å
α = 90.00°, β = 90.00°, γ = 90.00°
Sites, in units of the cell vectors:
Zn1 0.0000 0.0000 0.0000
Ru1 0.0000 0.0000 0.5000
Pt1 0.5000 0.5000 0.2507
Pt2 0.5000 0.5000 0.7493



# 2
Density functional theory data (PBE) for ZnRuPt after structural relaxation.

Symmetry: No. 44
Energy above the most stable polymorph in this dataset (eV/atom): 0.071
E (eV/atom): -5.559
Formation enthalpy at 0 K (eV/atom): -0.03

a = 4.7484 Å, b = 4.7484 Å, c = 4.7484 Å
α = 146.47°, β = 131.67°, γ = 60.11°
Sites, in units of the cell vectors:
Zn1 0.0000 0.0000 0.0000
Ru1 0.3359 0.3359 0.0000
Pt1 0.6665 0.6665 0.0000



# 3
Density functional theory data (PBE) for ZnRuPt2 after structural relaxation.

Symmetry: No. 8
E (eV/atom): -5.843
Formation enthalpy at 0 K (eV/atom): -0.19

a = 4.7632 Å, b = 4.7632 Å, c = 4.7942 Å
α = 99.85°, β = 99.85°, γ = 33.56°
Sites, in units of the cell vectors:
Zn1 0.0000 0.0000 0.0000
Ru1 0.7455 0.7455 0.2828
Pt1 0.2517 0.2517 0.7824
Pt2 0.4930 0.4930 0.4888



# 4
Density functional theory data (PBE) for Zn2RuPt2 after structural relaxation.

Symmetry: No. 127
Energy above the most stable polymorph in this dataset (eV/atom): 0.065
E (eV/atom): -4.835
Formation enthalpy at 0 K (eV/atom): -0.05

a = 7.3933 Å, b = 7.3933 Å, c = 2.8180 Å
α = 90.00°, β = 90.00°, γ = 90.00°
Sites, in units of the cell vectors:
Zn1 0.1635 0.3365 0.0000
Zn2 0.3365 0.8365 0.0000
Zn3 0.6635 0.1635 0.0000
Zn4 0.8365 0.6635 0.0000
Ru1 0.0000 0.0000 0.5000
Ru2 0.5000 0.5000 0.5000
Pt1 0.1359 0.6359 0.5000
Pt2 0.3641 0.1359 0.5000
Pt3 0.6359 0.8641 0.5000
Pt4 0.8641 0.3641 0.5000



# 5
Density functional theory data (PBE) for ZnRu2Pt after structural relaxation.

Symmetry: No. 166
E (eV/atom): -6.386
Formation enthalpy at 0 K (eV/atom): 0.08

a = 9.0226 Å, b = 9.0226 Å, c = 9.0226 Å
α = 17.44°, β = 17.44°, γ = 17.44°
Sites, in units of the cell vectors:
Zn1 0.0000 0.0000 0.0000
Ru1 0.2515 0.2515 0.2515
Ru2 0.7485 0.7485 0.7485
Pt1 0.5000 0.5000 0.5000



# 6
Density functional theory data (PBE) for ZnRu2Pt after structural relaxation.

Symmetry: No. 47
E (eV/atom): -6.370
Formation enthalpy at 0 K (eV/atom): 0.10

a = 2.7863 Å, b = 3.9523 Å, c = 5.2378 Å
α = 90.00°, β = 90.00°, γ = 90.00°
Sites, in units of the cell vectors:
Zn1 0.0000 0.0000 0.0000
Ru1 0.5000 0.5000 0.2422
Ru2 0.5000 0.5000 0.7578
Pt1 0.0000 0.0000 0.5000



# 7
Density functional theory data (PBE) for ZnRuPt after structural relaxation.

Symmetry: No. 187
Energy above the most stable polymorph in this dataset (eV/atom): 0.023
E (eV/atom): -5.608
Formation enthalpy at 0 K (eV/atom): -0.08

a = 2.7802 Å, b = 2.7802 Å, c = 13.0564 Å
α = 90.00°, β = 90.00°, γ = 120.00°
Sites, in units of the cell vectors:
Zn1 0.0000 0.0000 0.1623
Zn2 0.0000 0.0000 0.8377
Ru1 0.0000 0.0000 0.5000
Ru2 0.3333 0.6667 0.0000
Pt1 0.3333 0.6667 0.3294
Pt2 0.3333 0.6667 0.6706



# 8
Density functional theory data (PBE) for ZnRu2Pt after structural relaxation.

Symmetry: No. 139
E (eV/atom): -6.440
Formation enthalpy at 0 K (eV/atom): 0.03

a = 4.7633 Å, b = 4.7633 Å, c = 4.7633 Å
α = 132.69°, β = 132.69°, γ = 69.14°
Sites, in units of the cell vectors:
Zn1 0.0000 0.0000 0.0000
Ru1 0.2500 0.7500 0.5000
Ru2 0.7500 0.2500 0.5000
Pt1 0.5000 0.5000 0.0000



# 9
Density functional theory data (PBE) for ZnRu2Pt after structural relaxation.

Symmetry: No. 122
E (eV/atom): -5.859
Formation enthalpy at 0 K (eV/atom): 0.61

a = 5.5910 Å, b = 5.5910 Å, c = 5.5910 Å
α = 102.08°, β = 102.08°, γ = 125.56°
Sites, in units of the cell vectors:
Zn1 0.0000 0.0000 0.0000
Zn2 0.7500 0.2500 0.5000
Ru1 0.1199 0.6250 0.9949
Ru2 0.3750 0.3699 0.4949
Ru3 0.6301 0.1250 0.0051
Ru4 0.8750 0.8801 0.5051
Pt1 0.2500 0.7500 0.5000
Pt2 0.5000 0.5000 0.0000



# 10
Density functional theory data (PBE) for Zn2RuPt after structural relaxation.

Symmetry: No. 35
E (eV/atom): -4.417
Formation enthalpy at 0 K (eV/atom): 0.05

a = 2.7372 Å, b = 2.7372 Å, c = 9.0627 Å
α = 90.00°, β = 90.00°, γ = 119.02°
Sites, in units of the cell vectors:
Zn1 0.0000 0.0000 0.0000
Zn2 0.5000 0.5000 0.2526
Ru1 0.0000 0.0000 0.4935
Pt1 0.5000 0.5000 0.7539



# 11
Density functional theory data (PBE) for Zn2RuPt after structural relaxation.

Symmetry: No. 10
E (eV/atom): -4.647
Formation enthalpy at 0 K (eV/atom): -0.18

a = 4.6007 Å, b = 2.7513 Å, c = 4.9283 Å
α = 90.00°, β = 111.88°, γ = 90.00°
Sites, in units of the cell vectors:
Zn1 0.0000 0.0000 0.0000
Zn2 0.0000 0.5000 0.5000
Ru1 0.5000 0.0000 0.5000
Pt1 0.5000 0.5000 0.0000



# 12
Density functional theory data (PBE) for ZnRu2Pt after structural relaxation.

Symmetry: No. 35
E (eV/atom): -6.315
Formation enthalpy at 0 K (eV/atom): 0.15

a = 2.7201 Å, b = 2.7201 Å, c = 9.0927 Å
α = 90.00°, β = 90.00°, γ = 118.54°
Sites, in units of the cell vectors:
Zn1 0.0000 0.0000 0.0000
Ru1 0.0000 0.0000 0.5132
Ru2 0.5000 0.5000 0.7532
Pt1 0.5000 0.5000 0.2462